PmErMg4 | PBE-GGA | relaxed

Lattice parameters (Å, degrees): 13.7982 3.4443 6.8545 90.00 104.35 90.00
Space group C2/m (No. 12)
Inequivalent atoms, fractional coordinates:
Pm 0.0000 0.0000 0.0000 x2
Er 0.0000 0.0000 0.5000 x2
Mg 0.1744 0.5000 0.3417 x4
Mg 0.1769 0.5000 0.8339 x4

Summary:
- Offset from the most stable computed form: 31.9 meV per atom
- Formation energy: -44 meV per atom
- D(E_F): 13.85 states/eV per cell

=====

TbNd5ErTm2 | PBE-GGA | relaxed

Lattice parameters (Å, degrees): 5.6253 20.3804 10.7128 90.00 90.00 90.00
Space group Cmc2_1 (No. 36)
Inequivalent atoms, fractional coordinates:
Tb 0.0000 0.1987 0.0000 x4
Nd 0.0000 0.0156 0.0059 x4
Nd 0.0000 0.2799 0.3011 x4
Nd 0.0000 0.2977 0.6957 x4
Nd 0.0000 0.3851 0.0098 x4
Nd 0.0000 0.4836 0.7323 x4
Er 0.0000 0.4081 0.4518 x4
Tm 0.0000 0.1119 0.7292 x4
Tm 0.0000 0.1139 0.2964 x4

Summary:
- Formation energy: 146 meV per atom
- D(E_F): 57.90 states/eV per cell

=====

ErGa2Au | PBE-GGA | relaxed

Lattice parameters (Å, degrees): 4.3453 4.3453 14.7511 90.00 90.00 120.00
Space group R-3m (No. 166, hexagonal axes)
Inequivalent atoms, fractional coordinates:
Er 0.0000 0.0000 0.0000 x3
Ga 0.0000 0.0000 0.2245 x6
Au 0.0000 0.0000 0.5000 x3

Summary:
- Formation energy: -542 meV per atom
- D(E_F): 4.33 states/eV per cell

=====

Li2CuTc | PBE-GGA | relaxed

Lattice parameters (Å, degrees): 4.2465 4.2465 5.9729 90.00 90.00 90.00
Space group I-4m2 (No. 119)
Inequivalent atoms, fractional coordinates:
Li 0.0000 0.0000 0.0000 x2
Li 0.0000 0.5000 0.2500 x2
Cu 0.0000 0.0000 0.5000 x2
Tc 0.0000 0.5000 0.7500 x2

Summary:
- Offset from the most stable computed form: 296.9 meV per atom
- Formation energy: 414 meV per atom
- D(E_F): 2.89 states/eV per cell

=====

SmGd3S | PBE-GGA | relaxed

Lattice parameters (Å, degrees): 5.3873 5.3873 5.3873 90.00 90.00 90.00
Space group Pm-3m (No. 221)
Inequivalent atoms, fractional coordinates:
Sm 0.0000 0.0000 0.0000 x1
Gd 0.0000 0.5000 0.5000 x3
S 0.5000 0.5000 0.5000 x1

Summary:
- D(E_F): 7.52 states/eV per cell
- ΔE_f (raw): -0.67 eV per atom

=====

YBPtCl2 | PBE-GGA | relaxed

Lattice parameters (Å, degrees): 5.1041 5.1041 5.3508 90.00 90.00 90.00
Space group P4/mmm (No. 123)
Inequivalent atoms, fractional coordinates:
Y 0.0000 0.0000 0.0000 x1
B 0.0000 0.0000 0.5000 x1
Pt 0.5000 0.5000 0.5000 x1
Cl 0.0000 0.5000 0.0000 x2

Summary:
- D(E_F): 2.34 states/eV per cell
- ΔE_f (raw): 0.50 eV per atom